# VSnSb3, optimized geometry, DFT PBE
data_VSnSb3
_space_group_name_H-M_alt 'P m -3 m'
_space_group_IT_number 221
_space_group_name_Hall '-P 4 2 3'
_cell_length_a 5.176
_cell_length_b 5.176
_cell_length_c 5.176
_cell_angle_alpha 90.00
_cell_angle_beta 90.00
_cell_angle_gamma 90.00
loop_
_atom_site_label
_atom_site_type_symbol
_atom_site_fract_x
_atom_site_fract_y
_atom_site_fract_z
V1 V 0.000 0.000 0.000
Sn1 Sn 0.500 0.500 0.500
Sb1 Sb 0.000 0.000 0.500
# Excess energy over the best structure of this formula in the dataset: 0.000 eV per atom
# DFT total energy: -0.175 hartree per atom
# Raw formation energy: 1.66 eV per formula unit